[1]
The following is a PBE calculation of a geometry-optimized MnTl2Cd structure, from the Alexandria database.

Unit cell a=4.4029 b=4.4029 c=9.8087 alpha=90.00 beta=90.00 gamma=90.00
Closest atoms and distances in Å follow each position.
Space group I-4m2 (No. 119)
Symmetry-distinct sites (fractional):
Mn 0.0000 0.0000 0.0000 [2 per cell]  8 Tl 3.11-3.30, 4 Cd 3.30
Tl 0.0000 0.0000 0.5000 [2 per cell]  4 Mn 3.11, 4 Tl 3.30, 4 Cd 3.30
Tl 0.0000 0.5000 0.7500 [2 per cell]  4 Cd 3.11, 4 Mn 3.30, 4 Tl 3.30
Cd 0.0000 0.5000 0.2500 [2 per cell]  8 Tl 3.11-3.30, 4 Mn 3.30

## Properties
The calculation puts the energy relative to the lowest polymorph listed for this composition at 0.36 eV per formula unit. The formation energy from the elements is 0.359 eV/atom.

[2]
The following is a PBE calculation of a geometry-optimized Cr3Ir structure, from the Alexandria database.

Unit cell a=2.7882 b=4.1399 c=4.3910 alpha=90.00 beta=90.00 gamma=90.00
Closest atoms and distances in Å follow each position.
Space group Pmm2 (No. 25)
Symmetry-distinct sites (fractional):
Cr 0.0000 0.0000 0.0000 [1 per cell]  2 Cr 2.37, 4 Ir 2.56
Cr 0.0000 0.5000 0.3931 [1 per cell]  8 Cr 2.50-2.79, 4 Ir 2.51-2.69
Cr 0.5000 0.0000 0.4367 [1 per cell]  6 Cr 2.37-2.50
Ir 0.5000 0.5000 0.8683 [1 per cell]  10 Cr 2.51-2.81, 2 Ir 2.79

## Properties
The formation energy from the elements is 0.053 eV/atom.

[3]
The following is a PBE calculation of a geometry-optimized TaNO2 structure, from the Alexandria database.

Unit cell a=2.9645 b=2.9645 c=18.6894 alpha=90.00 beta=90.00 gamma=120.00
Closest atoms and distances in Å follow each position.
Space group R-3m (No. 166, hexagonal axes)
Symmetry-distinct sites (fractional):
Ta 0.0000 0.0000 0.0000 [3 per cell]  6 O 2.10
N 0.0000 0.0000 0.5000 [3 per cell]  2 O 1.91
O 0.0000 0.0000 0.3980 [6 per cell]  1 N 1.91, 3 Ta 2.10

## Properties
Its energy relative to the elements, uncorrected is -0.201 eV/atom.

[4]
The following is a PBE calculation of a geometry-optimized SnPb5S6 structure, from the Alexandria database.

Unit cell a=7.3183 b=12.6740 c=7.3192 alpha=90.00 beta=109.48 gamma=90.00
Closest atoms and distances in Å follow each position.
Space group C2/m (No. 12)
Symmetry-distinct sites (fractional):
Sn 0.0000 0.0000 0.0000 [2 per cell]  6 S 2.94-2.95
Pb 0.0000 0.1670 0.5000 [4 per cell]  6 S 2.98-3.03
Pb 0.0000 0.3331 0.0000 [4 per cell]  6 S 2.99-3.00
Pb 0.0000 0.5000 0.5000 [2 per cell]  6 S 2.99-3.02
S 0.2456 0.0000 0.7516 [4 per cell]  1 Sn 2.95, 5 Pb 2.98-3.02
S 0.2463 0.1642 0.2466 [8 per cell]  1 Sn 2.94, 5 Pb 2.99-3.03

## Properties
Its energy relative to the elements, uncorrected is -0.513 eV/atom.

[5]
The following is a PBE calculation of a geometry-optimized K3Ho3AsO8 structure, from the Alexandria database.

Unit cell a=6.7379 b=6.7379 c=18.9151 alpha=90.00 beta=90.00 gamma=120.00
Closest atoms and distances in Å follow each position.
Space group R-3m (No. 166, hexagonal axes)
Symmetry-distinct sites (fractional):
K 0.0000 0.5000 0.0000 [9 per cell]  6 O 2.78-2.80
Ho 0.0000 0.5000 0.5000 [9 per cell]  6 O 2.26-2.31
As 0.0000 0.0000 0.5000 [3 per cell]  6 O 2.07
O 0.0000 0.0000 0.2270 [6 per cell]  3 Ho 2.26
O 0.0313 0.5156 0.2238 [18 per cell]  1 As 2.07, 2 Ho 2.31

## Properties
Its energy relative to the elements, uncorrected is -2.429 eV/atom.

no.,volume (Å³/atom),raw total energy (eV/atom)
1,23.8,-3.345
2,12.7,-9.380
3,11.9,-7.725
4,26.7,-4.455
5,16.5,-6.519